1.
Density functional theory data (PBE) for an optimized crystal structure of K2MgF5.

Calculated values
Crystal system: tetragonal
ρ in Mg/m³: 2.34
Formation energy without anion corrections in eV/atom: -2.69
D(E_F) in states/eV/cell: 9.54

a = 5.9553 Å, b = 5.9553 Å, c = 3.9511 Å
α = 90.00°, β = 90.00°, γ = 90.00°
Last column: nearest neighbours and their distance in Å.
Space group P4/mmm (No. 123)
Inequivalent atoms, fractional coordinates:
K (0.0000, 0.5000, 0.0000) (multiplicity 2)  10 F 2.89-2.98
Mg (0.0000, 0.0000, 0.5000) (multiplicity 1)  6 F 1.98
F (0.0000, 0.0000, 0.0000) (multiplicity 1)  2 Mg 1.98
F (0.2347, 0.2347, 0.5000) (multiplicity 4)  1 Mg 1.98

2.
Density functional theory data (PBE) for an optimized crystal structure of LaZrSc3.

Calculated values
Crystal system: cubic
ρ in Mg/m³: 4.43
D(E_F) in states/eV/cell: 14.80
Energy in Ry per atom: -0.407

a = 5.1540 Å, b = 5.1540 Å, c = 5.1540 Å
α = 90.00°, β = 90.00°, γ = 90.00°
Last column: nearest neighbours and their distance in Å.
Space group Pm-3m (No. 221)
Inequivalent atoms, fractional coordinates:
La (0.0000, 0.0000, 0.0000) (multiplicity 1)  6 Sc 2.58
Zr (0.5000, 0.5000, 0.5000) (multiplicity 1)  12 Sc 3.64
Sc (0.0000, 0.0000, 0.5000) (multiplicity 3)  2 La 2.58

3.
Density functional theory data (PBE) for an optimized crystal structure of La12CdPb3.

Calculated values
Crystal system: tetragonal
ρ in Mg/m³: 7.61
D(E_F) in states/eV/cell: 23.58
Energy in Ry per atom: -0.351

a = 5.0914 Å, b = 5.0914 Å, c = 20.1972 Å
α = 90.00°, β = 90.00°, γ = 90.00°
Last column: nearest neighbours and their distance in Å.
Space group P4/mmm (No. 123)
Inequivalent atoms, fractional coordinates:
La (0.0000, 0.0000, 0.0000) (multiplicity 1)  8 La 3.58, 4 Cd 3.60
La (0.0000, 0.0000, 0.2484) (multiplicity 2)  8 La 3.56-3.61, 4 Pb 3.60
La (0.0000, 0.0000, 0.5000) (multiplicity 1)  8 La 3.59, 4 Pb 3.60
La (0.0000, 0.5000, 0.1248) (multiplicity 4)  8 La 3.56-3.60, 2 Pb 3.57, 2 Cd 3.58
La (0.0000, 0.5000, 0.3749) (multiplicity 4)  8 La 3.59-3.61, 4 Pb 3.59-3.60
Cd (0.5000, 0.5000, 0.0000) (multiplicity 1)  12 La 3.58-3.60
Pb (0.5000, 0.5000, 0.2489) (multiplicity 2)  12 La 3.57-3.60
Pb (0.5000, 0.5000, 0.5000) (multiplicity 1)  12 La 3.59-3.60

4.
Density functional theory data (PBE) for an optimized crystal structure of Hf2Pt2Rh.

Calculated values
Crystal system: tetragonal
ρ in Mg/m³: 15.59
D(E_F) in states/eV/cell: 6.70
Energy in Ry per atom: -0.645

a = 7.4159 Å, b = 7.4159 Å, c = 3.2927 Å
α = 90.00°, β = 90.00°, γ = 90.00°
Last column: nearest neighbours and their distance in Å.
Space group P4/mbm (No. 127)
Inequivalent atoms, fractional coordinates:
Hf (0.1714, 0.3286, 0.0000) (multiplicity 4)  6 Pt 2.64-2.80
Pt (0.1315, 0.6315, 0.5000) (multiplicity 4)  6 Hf 2.64-2.80, 1 Pt 2.76, 2 Rh 2.90
Rh (0.0000, 0.0000, 0.5000) (multiplicity 2)  4 Pt 2.90, 8 Hf 3.20

5.
Density functional theory data (PBE) for an optimized crystal structure of PaCdPt.

Calculated values
Crystal system: cubic
ρ in Mg/m³: 12.06
D(E_F) in states/eV/cell: 23.77
Energy in Ry per atom: -0.435

a = 6.6687 Å, b = 6.6687 Å, c = 6.6687 Å
α = 90.00°, β = 90.00°, γ = 90.00°
Last column: nearest neighbours and their distance in Å.
Space group F-43m (No. 216)
Inequivalent atoms, fractional coordinates:
Pa (0.0000, 0.0000, 0.0000) (multiplicity 4)  4 Pt 2.89
Cd (0.0000, 0.0000, 0.5000) (multiplicity 4)  4 Pt 2.89
Pt (0.2500, 0.2500, 0.7500) (multiplicity 4)  4 Cd 2.89, 4 Pa 2.89

6.
Density functional theory data (PBE) for an optimized crystal structure of Y2HPt.

Calculated values
Crystal system: trigonal
ρ in Mg/m³: 7.82
D(E_F) in states/eV/cell: 9.49
Energy in Ry per atom: -0.414

a = 3.3416 Å, b = 3.3416 Å, c = 24.6317 Å
α = 90.00°, β = 90.00°, γ = 120.00°
Last column: nearest neighbours and their distance in Å.
Space group R-3m (No. 166, hexagonal axes)
Inequivalent atoms, fractional coordinates:
Y (0.0000, 0.0000, 0.1082) (multiplicity 6)  3 H 2.41, 1 Pt 2.67
H (0.0000, 0.0000, 0.5000) (multiplicity 3)  6 Y 2.41
Pt (0.0000, 0.0000, 0.0000) (multiplicity 3)  2 Y 2.67

7.
Density functional theory data (PBE) for an optimized crystal structure of LiH2PdF8.

Calculated values
Crystal system: triclinic
ρ in Mg/m³: 3.14
D(E_F) in states/eV/cell: 4.66
Energy in Ry per atom: -0.290

a = 4.6749 Å, b = 4.9397 Å, c = 6.2375 Å
α = 79.52°, β = 89.63°, γ = 87.53°
Last column: nearest neighbours and their distance in Å.
Space group P-1 (No. 2)
Inequivalent atoms, fractional coordinates:
Li (0.0000, 0.0000, 0.0000) (multiplicity 1)  6 F 1.98-2.20
H (0.2411, 0.4968, 0.8488) (multiplicity 2)  1 F 0.97
Pd (0.0000, 0.0000, 0.5000) (multiplicity 1)  6 F 1.89-1.95
F (0.2261, 0.8123, 0.7495) (multiplicity 2)  1 H 1.57
F (0.2258, 0.8552, 0.2855) (multiplicity 2)  1 Pd 1.92, 1 Li 2.07
F (0.2329, 0.3088, 0.4715) (multiplicity 2)  1 Pd 1.89
F (0.2527, 0.3172, 0.9426) (multiplicity 2)  1 H 0.97

8.
Density functional theory data (PBE) for an optimized crystal structure of CaPBr3.

Calculated values
Crystal system: cubic
ρ in Mg/m³: 3.50
Formation energy without anion corrections in eV/atom: -0.44
D(E_F) in states/eV/cell: 2.17

a = 5.2819 Å, b = 5.2819 Å, c = 5.2819 Å
α = 90.00°, β = 90.00°, γ = 90.00°
Last column: nearest neighbours and their distance in Å.
Space group Pm-3m (No. 221)
Inequivalent atoms, fractional coordinates:
Ca (0.0000, 0.0000, 0.0000) (multiplicity 1)  12 Br 3.73
P (0.5000, 0.5000, 0.5000) (multiplicity 1)  6 Br 2.64
Br (0.0000, 0.5000, 0.5000) (multiplicity 3)  2 P 2.64